First-principles (PBE) data for crystalline Na2B4H5 at its relaxed geometry, as listed in Alexandria via LeMat-Bulk.

Summary:
Density of states at the Fermi level   1.62 states/eV/f.u.
Total energy   -89.9 eV/cell

Cell and atoms, written as CIF:
```
data_Na2B4H5
_chemical_formula_sum 'Na4 B8 H10'
_symmetry_space_group_name_H-M 'C 1 2/m 1'
_symmetry_Int_Tables_number 12
_cell_length_a 8.4466
_cell_length_b 6.9817
_cell_length_c 5.6439
_cell_angle_alpha 90.00
_cell_angle_beta 131.49
_cell_angle_gamma 90.00
loop_
_symmetry_equiv_pos_as_xyz
'x,y,z'
'-x,-y,-z'
'-x,y,-z'
'x,-y,z'
'x+1/2,y+1/2,z'
'-x+1/2,-y+1/2,-z'
'-x+1/2,y+1/2,-z'
'x+1/2,-y+1/2,z'
loop_
_atom_site_label
_atom_site_type_symbol
_atom_site_fract_x
_atom_site_fract_y
_atom_site_fract_z
Na1 Na 0.2444 0.0000 0.3653
B1 B 0.1079 0.5000 0.0449
B2 B 0.1498 0.0000 0.8182
H1 H 0.0000 0.0000 0.5000
H2 H 0.0910 0.1463 0.8649
```